Entry 1:
First-principles (PBE-GGA) data for an optimized crystal structure of Ta2ReW, as listed in the Alexandria database.

```
4
Lattice="4.553 0.000 0.000 2.277 3.943 0.000 2.277 1.314 3.718" Properties=species:S:1:pos:R:3 pbc="T T T"
Ta 0.000 0.000 0.000
Ta 4.553 2.629 1.859
W 2.277 1.314 0.929
Re 6.830 3.943 2.788
```

density of states at the Fermi level	0.454	states/eV/atom
M_tot	0.0	μB/f.u.
formation enthalpy at 0 K	-276	meV per atom
final energy	-12.552	eV/atom


Entry 2:
First-principles (PBE-GGA) data for an optimized crystal structure of CoAs2Rh, as listed in the Alexandria database.

```
4
Lattice="-0.286 -0.135 4.340 -2.912 2.487 2.066 -3.465 -1.826 1.896" Properties=species:S:1:pos:R:3 pbc="T T T"
Rh -3.332 0.263 4.151
Co 0.000 0.000 0.000
As -1.666 0.132 2.076
As -4.997 0.395 6.227
```

density of states at the Fermi level	1.238	states/eV/atom
offset from the most stable computed form	325.9	meV per atom
M_tot	1.7	μB/f.u.
formation enthalpy at 0 K	-8	meV per atom
final energy	-5.947	eV/atom


Entry 3:
First-principles (PBE-GGA) data for an optimized crystal structure of TmPaSe2O, as listed in the Alexandria database.

```
10
Lattice="3.917 0.000 0.000 0.000 3.917 0.000 0.000 0.000 13.842" Properties=species:S:1:pos:R:3 pbc="T T T"
Se 1.958 0.000 4.232
Se 0.000 1.958 1.559
Se 1.958 0.000 12.283
Se 0.000 1.958 9.610
O 0.000 0.000 6.921
O 1.958 1.958 6.921
Pa 1.958 0.000 8.241
Pa 0.000 1.958 5.600
Tm 0.000 1.958 12.513
Tm 1.958 0.000 1.329
```

density of states at the Fermi level	1.096	states/eV/atom
M_tot	1.3	μB/f.u.
ΔE_f (raw)	-2201	meV per atom
final energy	-7.380	eV/atom


Entry 4:
First-principles (PBE-GGA) data for an optimized crystal structure of Si2TcNi, as listed in the Alexandria database.

```
4
Lattice="-1.587 2.145 2.562 0.467 -1.996 1.960 4.406 2.036 1.024" Properties=species:S:1:pos:R:3 pbc="T T T"
Ni 2.861 1.102 3.519
Si 2.516 -0.496 1.973
Si 0.387 -1.481 1.479
Tc 0.425 1.082 2.027
```

density of states at the Fermi level	0.633	states/eV/atom
M_tot	0.0	μB/f.u.
ΔE_f (raw)	-301	meV per atom
final energy	-7.050	eV/atom


Entry 5:
First-principles (PBE-GGA) data for an optimized crystal structure of Sr2LiY2, as listed in the Alexandria database.

```
5
Lattice="-2.323 2.323 9.278 2.323 -2.323 9.278 2.323 2.323 -9.278" Properties=species:S:1:pos:R:3 pbc="T T T"
Y 0.000 0.000 10.852
Y 0.000 0.000 7.705
Sr 2.323 0.000 4.639
Sr 0.000 2.323 4.639
Li 0.000 0.000 0.000
```

density of states at the Fermi level	1.634	states/eV/atom
offset from the most stable computed form	216.6	meV per atom
M_tot	0.0	μB/f.u.
formation enthalpy at 0 K	652	meV per atom
final energy	-2.989	eV/atom


Entry 6:
First-principles (PBE-GGA) data for an optimized crystal structure of PuHgBi2, as listed in the Alexandria database.

```
4
Lattice="5.483 0.000 0.000 2.741 4.748 0.000 2.741 1.583 4.477" Properties=species:S:1:pos:R:3 pbc="T T T"
Bi 2.741 1.583 1.119
Bi 8.224 4.748 3.358
Hg 0.000 0.000 0.000
Pu 5.483 3.166 2.238
```

density of states at the Fermi level	2.655	states/eV/atom
offset from the most stable computed form	245.0	meV per atom
M_tot	6.1	μB/f.u.
formation enthalpy at 0 K	1	meV per atom
final energy	-5.598	eV/atom


Entry 7:
First-principles (PBE-GGA) data for an optimized crystal structure of HoCoAg, as listed in the Alexandria database.

```
6
Lattice="-0.870 3.661 -0.991 -1.962 0.726 4.409 6.407 -0.145 1.477" Properties=species:S:1:pos:R:3 pbc="T T T"
Ag -1.100 2.643 3.092
Ag 4.674 1.599 1.804
Co 2.564 2.814 0.506
Co 1.009 1.428 4.390
Ho 0.879 0.670 1.703
Ho 2.695 3.572 3.192
```

density of states at the Fermi level	0.830	states/eV/atom
M_tot	0.6	μB/f.u.
formation enthalpy at 0 K	-147	meV per atom
final energy	-4.992	eV/atom


Entry 8:
First-principles (PBE-GGA) data for an optimized crystal structure of Rb2InCI6, as listed in the Alexandria database.

```
10
Lattice="8.120 0.000 0.000 0.000 8.120 0.000 4.060 4.060 5.741" Properties=species:S:1:pos:R:3 pbc="T T T"
In 0.000 0.000 0.000
Rb 8.120 4.060 2.871
Rb 4.060 8.120 2.871
I 2.149 2.149 0.000
I 5.971 2.149 0.000
I 5.971 5.971 0.000
I 2.149 5.971 0.000
I 8.120 8.120 3.038
I 4.060 4.060 2.703
C 4.060 4.060 0.000
```

density of states at the Fermi level	0.299	states/eV/atom
M_tot	0.0	μB/f.u.
ΔE_f (raw)	-244	meV per atom
final energy	-2.563	eV/atom